Pm7NdSm3 | GGA-PBE | relaxed

POSCAR file:
```
Pm7NdSm3
1.0
7.234 0.000 0.000
-3.617 6.265 0.000
0.000 0.000 8.761
Pm Nd Sm
7 1 3
Cartesian
0.000 0.000 0.000 Pm
0.000 2.081 2.889 Pm
-1.815 5.224 2.889 Pm
3.617 0.007 8.682 Pm
1.814 3.129 8.682 Pm
1.815 5.224 2.889 Pm
5.420 3.129 8.682 Pm
3.617 2.088 2.812 Nd
1.807 1.043 5.789 Sm
5.427 1.043 5.789 Sm
3.617 4.178 5.789 Sm
```

## Properties
magnetic moment = 0.0000 μB per atom
E above lowest polymorph = 54 meV/atom

***

CoCu2C | GGA-PBE | relaxed

POSCAR file:
```
CoCu2C
1.0
-1.575 1.575 8.503
1.575 -1.575 8.503
1.575 1.575 -8.503
Co Cu C
2 4 2
Cartesian
0.000 0.000 0.000 Co
0.000 1.575 4.251 Co
0.787 -0.767 6.377 Cu
0.808 0.787 2.126 Cu
0.787 2.342 -2.126 Cu
0.767 0.787 10.628 Cu
1.575 0.000 4.251 C
0.000 0.000 8.503 C
```

## Properties
magnetic moment = 0.0000 μB per atom

***

Be2RuRhI | GGA-PBE | relaxed

POSCAR file:
```
Be2RuRhI
1.0
4.103 0.000 0.000
0.000 4.103 0.000
0.000 0.000 5.227
Be Ru Rh I
2 1 1 1
Cartesian
0.000 2.052 0.000 Be
2.052 0.000 0.000 Be
0.000 0.000 2.614 Ru
2.052 2.052 0.000 Rh
2.052 2.052 2.614 I
```

## Properties
magnetic moment = 0.0001 μB per atom
uncorrected formation energy = 1.042 eV/atom

***

Li2MoBr6 | GGA-PBE | relaxed

POSCAR file:
```
Li2MoBr6
1.0
6.655 0.000 0.000
0.000 7.229 0.000
-5.988 0.000 10.696
Li Mo Br
4 2 12
Cartesian
-0.022 0.966 1.541 Li
-3.016 2.649 6.889 Li
3.682 4.580 3.806 Li
0.688 6.264 9.154 Li
3.327 0.000 0.000 Mo
0.333 3.615 5.348 Mo
-3.736 0.353 8.372 Br
-0.742 3.262 3.024 Br
-1.766 4.930 6.099 Br
1.228 5.914 0.751 Br
-0.734 1.477 6.162 Br
2.260 2.138 0.815 Br
-1.594 5.092 9.881 Br
1.400 5.752 4.533 Br
-0.562 1.316 9.945 Br
2.432 2.299 4.597 Br
1.408 3.968 7.672 Br
4.402 6.876 2.324 Br
```

## Properties
magnetic moment = 0.2222 μB per atom
uncorrected formation energy = -0.929 eV/atom

***

Pa2CSe | GGA-PBE | relaxed

POSCAR file:
```
Pa2CSe
1.0
1.765 1.019 7.285
-1.765 1.019 7.285
0.000 -2.038 7.285
Pa C Se
2 1 1
Cartesian
0.000 0.000 0.000 Pa
0.000 0.000 3.081 Pa
0.000 0.000 8.842 C
0.000 0.000 12.471 Se
```

## Properties
magnetic moment = 0.0002 μB per atom
uncorrected formation energy = -0.578 eV/atom
E above lowest polymorph = 342 meV/atom

***

CaMo3Au | GGA-PBE | relaxed

POSCAR file:
```
CaMo3Au
1.0
4.954 0.000 0.000
0.000 4.954 0.000
0.000 0.000 4.954
Ca Mo Au
1 3 1
Cartesian
0.000 0.000 0.000 Ca
0.000 2.477 2.477 Mo
2.477 0.000 2.477 Mo
2.477 2.477 0.000 Mo
2.477 2.477 2.477 Au
```

## Properties
magnetic moment = 0.0000 μB per atom
E above lowest polymorph = 0 meV/atom

***

Pr6Dy3Y2Sc | GGA-PBE | relaxed

POSCAR file:
```
Pr6Dy3Y2Sc
1.0
3.140 -5.439 0.000
3.140 5.439 0.000
-2.092 0.000 11.626
Pr Dy Y Sc
6 3 2 1
Cartesian
1.032 1.793 2.884 Pr
-0.017 0.000 8.740 Pr
1.032 -1.793 2.884 Pr
3.156 1.793 8.742 Pr
4.205 0.000 2.886 Pr
3.156 -1.793 8.742 Pr
2.094 3.627 5.813 Dy
2.094 0.000 5.813 Dy
2.094 -3.627 5.813 Dy
3.140 1.813 0.000 Y
3.140 -1.813 0.000 Y
0.000 0.000 0.000 Sc
```

## Properties
magnetic moment = 0.0000 μB per atom

***

LiZrZn | GGA-PBE | relaxed

POSCAR file:
```
LiZrZn
1.0
-1.482 1.482 6.173
1.482 -1.482 6.173
1.482 1.482 -6.173
Li Zr Zn
1 1 1
Cartesian
0.000 0.000 0.000 Li
0.000 0.000 3.711 Zr
0.000 0.000 7.867 Zn
```

## Properties
magnetic moment = 0.0000 μB per atom
E above lowest polymorph = 107 meV/atom

***

Pm4Sm3Ir4 | GGA-PBE | relaxed

POSCAR file:
```
Pm4Sm3Ir4
1.0
-1.959 4.395 8.217
1.959 -4.395 8.217
1.959 4.395 -8.217
Pm Sm Ir
4 3 4
Cartesian
1.959 -2.733 5.484 Pm
0.000 1.661 2.733 Pm
1.959 2.733 5.484 Pm
0.000 7.128 2.733 Pm
1.959 0.000 0.000 Sm
0.000 0.000 6.596 Sm
0.000 0.000 9.838 Sm
1.959 0.000 4.178 Ir
0.000 2.489 0.000 Ir
0.000 6.301 0.000 Ir
0.000 4.395 4.039 Ir
```

## Properties
magnetic moment = 0.0000 μB per atom

***

SiHg4Os | GGA-PBE | relaxed

POSCAR file:
```
SiHg4Os
1.0
0.000 3.981 3.981
3.981 0.000 3.981
3.981 3.981 0.000
Si Hg Os
1 4 1
Cartesian
0.000 0.000 0.000 Si
4.973 2.989 2.989 Hg
2.989 4.973 2.989 Hg
2.989 2.989 4.973 Hg
4.973 4.973 4.973 Hg
1.991 1.991 1.991 Os
```

## Properties
magnetic moment = 0.0004 μB per atom
uncorrected formation energy = 1.149 eV/atom

***

DyHoEr5 | GGA-PBE | relaxed

POSCAR file:
```
DyHoEr5
1.0
-3.972 5.797 3.038
3.972 -5.797 3.038
3.972 5.797 -3.038
Dy Ho Er
1 1 5
Cartesian
0.000 0.000 0.000 Dy
3.972 0.000 1.451 Ho
0.000 2.975 0.005 Er
2.550 5.797 0.002 Er
1.423 0.000 3.040 Er
0.000 8.620 0.005 Er
0.000 5.797 1.587 Er
```

## Properties
magnetic moment = 0.0000 μB per atom
E above lowest polymorph = 808 meV/atom

***

Ca2HgB2 | GGA-PBE | relaxed

POSCAR file:
```
Ca2HgB2
1.0
-1.554 1.554 9.471
1.554 -1.554 9.471
1.554 1.554 -9.471
Ca Hg B
2 1 2
Cartesian
0.000 0.000 2.458 Ca
0.000 0.000 16.484 Ca
0.000 0.000 9.471 Hg
1.554 0.000 4.735 B
0.000 1.554 4.735 B
```

## Properties
magnetic moment = 0.0000 μB per atom
E above lowest polymorph = 252 meV/atom

***

Li17Ca2Pt3 | GGA-PBE | relaxed

POSCAR file:
```
Li17Ca2Pt3
1.0
5.091 2.939 4.942
-5.091 2.939 4.942
0.000 -5.879 4.942
Li Ca Pt
17 2 3
Cartesian
-5.091 0.000 7.413 Li
-1.355 -3.532 4.942 Li
-2.546 1.470 2.471 Li
-3.736 0.593 4.942 Li
0.000 0.000 1.417 Li
-2.443 -1.410 7.432 Li
1.355 -3.532 4.942 Li
-2.381 2.939 4.942 Li
0.000 -2.821 7.395 Li
-2.443 1.410 7.395 Li
2.546 1.470 2.471 Li
2.443 -1.410 7.432 Li
0.000 2.821 7.432 Li
3.736 0.593 4.942 Li
2.381 2.939 4.942 Li
2.443 1.410 7.395 Li
0.000 0.000 13.410 Li
0.000 0.000 4.887 Ca
0.000 0.000 9.940 Ca
-2.546 -1.470 4.942 Pt
-2.546 1.470 9.885 Pt
0.000 2.939 4.942 Pt
```

## Properties
magnetic moment = 0.0000 μB per atom

***

Ti6SbPd | GGA-PBE | relaxed

POSCAR file:
```
Ti6SbPd
1.0
5.746 0.000 0.000
-2.873 4.976 0.000
0.000 0.000 4.782
Ti Sb Pd
6 1 1
Cartesian
-1.436 2.488 0.000 Ti
1.427 0.824 2.391 Ti
0.000 4.976 0.000 Ti
1.436 2.488 0.000 Ti
4.320 0.824 2.391 Ti
2.873 3.329 2.391 Ti
0.000 0.000 0.000 Sb
0.000 3.318 2.391 Pd
```

## Properties
magnetic moment = 0.0001 μB per atom
uncorrected formation energy = -0.296 eV/atom
E above lowest polymorph = 0 meV/atom

***

NpZnGaPt3 | GGA-PBE | relaxed

POSCAR file:
```
NpZnGaPt3
1.0
3.366 -6.001 0.000
3.366 6.001 0.000
0.000 0.000 5.671
Np Zn Ga Pt
2 2 2 6
Cartesian
3.366 3.633 4.253 Np
3.366 -3.633 1.418 Np
3.366 0.688 4.253 Zn
3.366 -0.688 1.418 Zn
3.366 4.405 1.418 Ga
3.366 -4.405 4.253 Ga
1.409 0.000 0.000 Pt
1.409 0.000 2.835 Pt
3.366 1.989 1.418 Pt
3.366 -1.989 4.253 Pt
5.323 0.000 0.000 Pt
5.323 0.000 2.835 Pt
```

## Properties
magnetic moment = 0.6437 μB per atom

***

BeZn3Se | GGA-PBE | relaxed

POSCAR file:
```
BeZn3Se
1.0
4.943 0.000 0.000
0.000 4.943 0.000
0.000 0.000 4.943
Be Zn Se
1 3 1
Cartesian
0.000 0.000 0.000 Be
0.000 2.472 2.472 Zn
2.472 0.000 2.472 Zn
2.472 2.472 0.000 Zn
2.472 2.472 2.472 Se
```

## Properties
magnetic moment = 0.0000 μB per atom
uncorrected formation energy = 0.902 eV/atom
E above lowest polymorph = 564 meV/atom

***

ZnTcW | GGA-PBE | relaxed

POSCAR file:
```
ZnTcW
1.0
4.656 -2.205 0.000
4.656 2.205 0.000
-2.978 0.000 4.389
Zn Tc W
2 2 2
Cartesian
-0.721 0.000 1.121 Zn
7.055 0.000 3.268 Zn
0.809 0.000 3.368 Tc
5.525 0.000 1.021 Tc
2.299 0.000 1.167 W
4.035 0.000 3.223 W
```

## Properties
magnetic moment = 0.0000 μB per atom
E above lowest polymorph = 31 meV/atom

***

CaPm5Tm6 | GGA-PBE | relaxed

POSCAR file:
```
CaPm5Tm6
1.0
5.911 -5.378 0.000
5.911 5.378 0.000
-1.084 0.000 6.117
Ca Pm Tm
1 5 6
Cartesian
0.000 0.000 0.000 Ca
5.369 3.554 3.059 Pm
5.911 1.752 0.000 Pm
5.369 0.000 3.059 Pm
5.911 -1.752 0.000 Pm
5.369 -3.554 3.059 Pm
2.730 1.820 1.551 Tm
2.175 0.000 4.552 Tm
2.730 -1.820 1.551 Tm
8.008 1.820 4.566 Tm
8.563 0.000 1.565 Tm
8.008 -1.820 4.566 Tm
```

## Properties
magnetic moment = 0.0000 μB per atom

***

La4PmTl | GGA-PBE | relaxed

POSCAR file:
```
La4PmTl
1.0
6.300 0.000 0.000
0.000 7.100 0.000
-0.181 0.000 8.923
La Pm Tl
8 2 2
Cartesian
0.000 0.000 0.000 La
0.000 3.550 0.000 La
2.089 0.048 3.034 La
2.089 3.502 3.034 La
2.838 5.325 8.772 La
3.281 1.775 0.151 La
4.030 3.598 5.889 La
4.030 7.052 5.889 La
0.890 1.775 5.974 Pm
5.229 5.325 2.949 Pm
0.859 5.325 5.838 Tl
5.259 1.775 3.085 Tl
```

## Properties
magnetic moment = 0.0000 μB per atom
E above lowest polymorph = 0 meV/atom

***

Sc2TiCuN | GGA-PBE | relaxed

POSCAR file:
```
Sc2TiCuN
1.0
4.387 0.000 0.000
0.000 4.387 0.000
0.000 0.000 4.071
Sc Ti Cu N
2 1 1 1
Cartesian
0.000 2.194 0.000 Sc
2.194 0.000 0.000 Sc
0.000 0.000 2.035 Ti
2.194 2.194 2.035 Cu
0.000 0.000 0.000 N
```

## Properties
magnetic moment = 0.0000 μB per atom
uncorrected formation energy = -0.799 eV/atom

***

| no. | final energy (eV per cell) |
| --- | --- |
| 1 | -50.2 |
| 2 | -39.9 |
| 3 | -20.4 |
| 4 | -66.1 |
| 5 | -34.0 |
| 6 | -28.4 |
| 7 | -61.5 |
| 8 | -11.8 |
| 9 | -74.3 |
| 10 | -11.0 |
| 11 | -24.9 |
| 12 | -14.8 |
| 13 | -58.2 |
| 14 | -59.1 |
| 15 | -74.7 |
| 16 | -6.5 |
| 17 | -48.6 |
| 18 | -52.0 |
| 19 | -55.2 |
| 20 | -37.0 |